Record 1
{
  "formula": "NpTi2Ga",
  "functional": "PBE-GGA",
  "state": "optimized geometry",
  "cell": [[3.669, 0.000, 0.000], [0.000, 4.380, 0.000], [0.000, 0.000, 4.380]],
  "species": ["Ti", "Ga", "Ti", "Np"],
  "fractional_positions": [[0.000, 0.000, 0.500], [0.500, 0.000, 0.000], [0.000, 0.500, 0.000], [0.500, 0.500, 0.500]],
  "sg": "P4/mmm, No. 123"
}

---

Record 2
{
  "formula": "ZrTeSI2",
  "functional": "PBE-GGA",
  "state": "optimized geometry",
  "cell": [[-4.260, 0.432, 3.355], [2.798, -2.582, 3.886], [1.833, 4.599, 1.736]],
  "species": ["I", "Te", "Zr", "S", "I"],
  "fractional_positions": [[0.500, 0.000, 0.000], [0.000, 0.000, 0.500], [0.500, 0.500, 0.500], [0.000, 0.000, 0.000], [0.000, 0.500, 0.000]],
  "formation_energy_uncorrected_kj_per_mol_atoms": 56.55,
  "sg": "P4/mmm, No. 123"
}

---

Record 3
{
  "formula": "TiCr2Mo",
  "functional": "PBE-GGA",
  "state": "optimized geometry",
  "cell": [[6.728, 0.000, 0.000], [0.000, 6.728, 0.000], [3.364, 3.364, 2.599]],
  "species": ["Cr", "Cr", "Cr", "Ti", "Mo", "Mo", "Cr", "Ti"],
  "fractional_positions": [[0.115, 0.625, 0.250], [0.375, 0.365, 0.750], [0.635, 0.125, 0.250], [0.500, 0.500, 0.000], [0.000, 0.000, 0.000], [0.750, 0.250, 0.500], [0.875, 0.885, 0.750], [0.250, 0.750, 0.500]],
  "sg": "I-42d, No. 122"
}

---

For the records above, the corresponding total moment values read 3.95, 1.64, 0.00 μB per cell.
For the records above, the corresponding ΔE to the lowest computed polymorph values read 0.00, 2.52, 2.59 eV/f.u..